(1)
# Sr2MoW, relaxed, DFT PBE-GGA
# M_tot: 0.0 Bohr magnetons per cell
# formation enthalpy at 0 K: 1.31 eV/atom
# total DFT energy (no corrections): -5.475 eV/atom
data_Sr2MoW
_symmetry_space_group_name_H-M 'P 1 2/m 1'
_symmetry_Int_Tables_number 10
_cell_length_a 2.8901
_cell_length_b 5.4591
_cell_length_c 5.7831
_cell_angle_alpha 90.00
_cell_angle_beta 90.95
_cell_angle_gamma 90.00
loop_
_symmetry_equiv_pos_as_xyz
'x,y,z'
'-x,-y,-z'
'-x,y,-z'
'x,-y,z'
loop_
_atom_site_label
_atom_site_type_symbol
_atom_site_fract_x
_atom_site_fract_y
_atom_site_fract_z
Sr1 Sr 0.0006 0.0000 0.2499
Mo1 Mo 0.5000 0.5000 0.0000
W1 W 0.5000 0.5000 0.5000

---

(2)
# Sr2MoW, relaxed, DFT PBE-GGA
# M_tot: 3.1 Bohr magnetons per cell
# formation enthalpy at 0 K: 1.90 eV/atom
# total DFT energy (no corrections): -4.891 eV/atom
data_Sr2MoW
_symmetry_space_group_name_H-M 'I -4 2 d'
_symmetry_Int_Tables_number 122
_symmetry_space_group_name_Hall 'I -4 2bw'
_cell_length_a 8.6418
_cell_length_b 8.6418
_cell_length_c 5.5818
_cell_angle_alpha 90.00
_cell_angle_beta 90.00
_cell_angle_gamma 90.00
loop_
_atom_site_label
_atom_site_type_symbol
_atom_site_fract_x
_atom_site_fract_y
_atom_site_fract_z
Sr1 Sr 0.2467 0.2500 0.1250
Mo1 Mo 0.0000 0.0000 0.0000
W1 W 0.0000 0.0000 0.5000

---

(3)
# SrYMo2, relaxed, DFT PBE-GGA
# M_tot: 0.0 Bohr magnetons per cell
# formation enthalpy at 0 K: 0.92 eV/atom
# total DFT energy (no corrections): -6.531 eV/atom
data_SrYMo2
_symmetry_space_group_name_H-M 'C m m m'
_symmetry_Int_Tables_number 65
_symmetry_space_group_name_Hall '-C 2 2'
_cell_length_a 4.1285
_cell_length_b 4.1620
_cell_length_c 10.3335
_cell_angle_alpha 90.00
_cell_angle_beta 90.00
_cell_angle_gamma 90.00
loop_
_atom_site_label
_atom_site_type_symbol
_atom_site_fract_x
_atom_site_fract_y
_atom_site_fract_z
Sr1 Sr 0.0000 0.0000 0.0000
Y1 Y 0.0000 0.0000 0.5000
Mo1 Mo 0.0000 0.5000 0.2641

---

(4)
# SrYMo, relaxed, DFT PBE-GGA
# M_tot: 1.3 Bohr magnetons per cell
# formation enthalpy at 0 K: 0.83 eV/atom
# total DFT energy (no corrections): -5.498 eV/atom
data_SrYMo
_symmetry_space_group_name_H-M 'P 3 m 1'
_symmetry_Int_Tables_number 156
_cell_length_a 3.5262
_cell_length_b 3.5262
_cell_length_c 8.1396
_cell_angle_alpha 90.00
_cell_angle_beta 90.00
_cell_angle_gamma 120.00
loop_
_symmetry_equiv_pos_as_xyz
'x,y,z'
'-y,x-y,z'
'-x+y,-x,z'
'-y,-x,z'
'-x+y,y,z'
'x,x-y,z'
loop_
_atom_site_label
_atom_site_type_symbol
_atom_site_fract_x
_atom_site_fract_y
_atom_site_fract_z
Sr1 Sr 0.0000 0.0000 0.0000
Y1 Y 0.6667 0.3333 0.4361
Mo1 Mo 0.3333 0.6667 0.6933

---

(5)
# SrY2Mo, relaxed, DFT PBE-GGA
# M_tot: 1.9 Bohr magnetons per cell
# formation enthalpy at 0 K: 0.62 eV/atom
# total DFT energy (no corrections): -5.744 eV/atom
data_SrY2Mo
_symmetry_space_group_name_H-M 'C m m 2'
_symmetry_Int_Tables_number 35
_cell_length_a 4.1539
_cell_length_b 5.2802
_cell_length_c 10.7765
_cell_angle_alpha 90.00
_cell_angle_beta 90.00
_cell_angle_gamma 90.00
loop_
_symmetry_equiv_pos_as_xyz
'x,y,z'
'-x,-y,z'
'-x,y,z'
'x,-y,z'
'x+1/2,y+1/2,z'
'-x+1/2,-y+1/2,z'
'-x+1/2,y+1/2,z'
'x+1/2,-y+1/2,z'
loop_
_atom_site_label
_atom_site_type_symbol
_atom_site_fract_x
_atom_site_fract_y
_atom_site_fract_z
Sr1 Sr 0.0000 0.0000 0.0000
Y1 Y 0.0000 0.0000 0.4095
Y2 Y 0.0000 0.5000 0.6884
Mo1 Mo 0.0000 0.5000 0.2247

---

(6)
# SrYMo, relaxed, DFT PBE-GGA
# M_tot: 0.0 Bohr magnetons per cell
# formation enthalpy at 0 K: 0.85 eV/atom
# total DFT energy (no corrections): -5.475 eV/atom
data_SrYMo
_symmetry_space_group_name_H-M 'P 3 m 1'
_symmetry_Int_Tables_number 156
_cell_length_a 5.2990
_cell_length_b 5.2990
_cell_length_c 3.2070
_cell_angle_alpha 90.00
_cell_angle_beta 90.00
_cell_angle_gamma 120.00
loop_
_symmetry_equiv_pos_as_xyz
'x,y,z'
'-y,x-y,z'
'-x+y,-x,z'
'-y,-x,z'
'-x+y,y,z'
'x,x-y,z'
loop_
_atom_site_label
_atom_site_type_symbol
_atom_site_fract_x
_atom_site_fract_y
_atom_site_fract_z
Sr1 Sr 0.0000 0.0000 0.0000
Y1 Y 0.6667 0.3333 0.5008
Mo1 Mo 0.3333 0.6667 0.0018

---

(7)
# SrYMo2, relaxed, DFT PBE-GGA
# M_tot: 0.0 Bohr magnetons per cell
# formation enthalpy at 0 K: 0.55 eV/atom
# total DFT energy (no corrections): -6.903 eV/atom
data_SrYMo2
_symmetry_space_group_name_H-M 'C 1 m 1'
_symmetry_Int_Tables_number 8
_cell_length_a 8.2116
_cell_length_b 3.3800
_cell_length_c 7.9867
_cell_angle_alpha 90.00
_cell_angle_beta 94.98
_cell_angle_gamma 90.00
loop_
_symmetry_equiv_pos_as_xyz
'x,y,z'
'x,-y,z'
'x+1/2,y+1/2,z'
'x+1/2,-y+1/2,z'
loop_
_atom_site_label
_atom_site_type_symbol
_atom_site_fract_x
_atom_site_fract_y
_atom_site_fract_z
Sr1 Sr 0.0000 0.0000 0.0000
Y1 Y 0.2130 0.0000 0.6029
Mo1 Mo 0.2540 0.5000 0.2754
Mo2 Mo 0.4679 0.0000 0.3875

---

(8)
# SrY2Mo, relaxed, DFT PBE-GGA
# M_tot: 0.8 Bohr magnetons per cell
# formation enthalpy at 0 K: 0.61 eV/atom
# total DFT energy (no corrections): -5.754 eV/atom
data_SrY2Mo
_symmetry_space_group_name_H-M 'C 1 m 1'
_symmetry_Int_Tables_number 8
_cell_length_a 10.1953
_cell_length_b 3.4243
_cell_length_c 7.2489
_cell_angle_alpha 90.00
_cell_angle_beta 95.82
_cell_angle_gamma 90.00
loop_
_symmetry_equiv_pos_as_xyz
'x,y,z'
'x,-y,z'
'x+1/2,y+1/2,z'
'x+1/2,-y+1/2,z'
loop_
_atom_site_label
_atom_site_type_symbol
_atom_site_fract_x
_atom_site_fract_y
_atom_site_fract_z
Sr1 Sr 0.0000 0.0000 0.0000
Y1 Y 0.0260 0.5000 0.5787
Y2 Y 0.2694 0.5000 0.3437
Mo1 Mo 0.2637 0.0000 0.6881

---

(9)
# SrY2Mo, relaxed, DFT PBE-GGA
# M_tot: 0.0 Bohr magnetons per cell
# formation enthalpy at 0 K: 0.53 eV/atom
# total DFT energy (no corrections): -5.826 eV/atom
data_SrY2Mo
_symmetry_space_group_name_H-M 'C 1 2/m 1'
_symmetry_Int_Tables_number 12
_cell_length_a 8.5028
_cell_length_b 3.5112
_cell_length_c 8.6104
_cell_angle_alpha 90.00
_cell_angle_beta 96.20
_cell_angle_gamma 90.00
loop_
_symmetry_equiv_pos_as_xyz
'x,y,z'
'-x,-y,-z'
'-x,y,-z'
'x,-y,z'
'x+1/2,y+1/2,z'
'-x+1/2,-y+1/2,-z'
'-x+1/2,y+1/2,-z'
'x+1/2,-y+1/2,z'
loop_
_atom_site_label
_atom_site_type_symbol
_atom_site_fract_x
_atom_site_fract_y
_atom_site_fract_z
Sr1 Sr 0.0000 0.0000 0.0000
Y1 Y 0.2256 0.0000 0.6722
Mo1 Mo 0.0000 0.5000 0.5000

---

(10)
# SrY2Mo, relaxed, DFT PBE-GGA
# M_tot: 6.2 Bohr magnetons per cell
# formation enthalpy at 0 K: 0.66 eV/atom
# total DFT energy (no corrections): -5.696 eV/atom
data_SrY2Mo
_symmetry_space_group_name_H-M 'R 3 m'
_symmetry_Int_Tables_number 160
_symmetry_space_group_name_Hall 'R 3 -2"'
_cell_length_a 3.5215
_cell_length_b 3.5215
_cell_length_c 33.3797
_cell_angle_alpha 90.00
_cell_angle_beta 90.00
_cell_angle_gamma 120.00
loop_
_atom_site_label
_atom_site_type_symbol
_atom_site_fract_x
_atom_site_fract_y
_atom_site_fract_z
Sr1 Sr 0.0000 0.0000 0.0000
Y1 Y 0.0000 0.0000 0.5272
Y2 Y 0.0000 0.0000 0.7695
Mo1 Mo 0.0000 0.0000 0.2582

---

(11)
# SrYMo2, relaxed, DFT PBE-GGA
# M_tot: 0.0 Bohr magnetons per cell
# formation enthalpy at 0 K: 0.70 eV/atom
# total DFT energy (no corrections): -6.754 eV/atom
data_SrYMo2
_symmetry_space_group_name_H-M 'C 1 2/m 1'
_symmetry_Int_Tables_number 12
_cell_length_a 10.6513
_cell_length_b 3.7228
_cell_length_c 6.3251
_cell_angle_alpha 90.00
_cell_angle_beta 114.31
_cell_angle_gamma 90.00
loop_
_symmetry_equiv_pos_as_xyz
'x,y,z'
'-x,-y,-z'
'-x,y,-z'
'x,-y,z'
'x+1/2,y+1/2,z'
'-x+1/2,-y+1/2,-z'
'-x+1/2,y+1/2,-z'
'x+1/2,-y+1/2,z'
loop_
_atom_site_label
_atom_site_type_symbol
_atom_site_fract_x
_atom_site_fract_y
_atom_site_fract_z
Sr1 Sr 0.0000 0.0000 0.0000
Y1 Y 0.0000 0.5000 0.5000
Mo1 Mo 0.2472 0.0000 0.6253

---

(12)
# SrY2Mo, relaxed, DFT PBE-GGA
# M_tot: 6.3 Bohr magnetons per cell
# formation enthalpy at 0 K: 0.74 eV/atom
# total DFT energy (no corrections): -5.622 eV/atom
data_SrY2Mo
_symmetry_space_group_name_H-M 'F -4 3 m'
_symmetry_Int_Tables_number 216
_symmetry_space_group_name_Hall 'F -4 2 3'
_cell_length_a 7.6971
_cell_length_b 7.6971
_cell_length_c 7.6971
_cell_angle_alpha 90.00
_cell_angle_beta 90.00
_cell_angle_gamma 90.00
loop_
_atom_site_label
_atom_site_type_symbol
_atom_site_fract_x
_atom_site_fract_y
_atom_site_fract_z
Sr1 Sr 0.0000 0.0000 0.0000
Y1 Y 0.0000 0.0000 0.5000
Y2 Y 0.2500 0.2500 0.2500
Mo1 Mo 0.2500 0.2500 0.7500

---

(13)
# SrYMo2, relaxed, DFT PBE-GGA
# M_tot: 0.0 Bohr magnetons per cell
# formation enthalpy at 0 K: 0.50 eV/atom
# total DFT energy (no corrections): -6.948 eV/atom
data_SrYMo2
_symmetry_space_group_name_H-M 'I m m 2'
_symmetry_Int_Tables_number 44
_cell_length_a 3.5329
_cell_length_b 5.3491
_cell_length_c 10.6412
_cell_angle_alpha 90.00
_cell_angle_beta 90.00
_cell_angle_gamma 90.00
loop_
_symmetry_equiv_pos_as_xyz
'x,y,z'
'-x,-y,z'
'-x,y,z'
'x,-y,z'
'x+1/2,y+1/2,z+1/2'
'-x+1/2,-y+1/2,z+1/2'
'-x+1/2,y+1/2,z+1/2'
'x+1/2,-y+1/2,z+1/2'
loop_
_atom_site_label
_atom_site_type_symbol
_atom_site_fract_x
_atom_site_fract_y
_atom_site_fract_z
Sr1 Sr 0.0000 0.0000 0.0000
Y1 Y 0.0000 0.5000 0.2157
Mo1 Mo 0.0000 0.0000 0.4271
Mo2 Mo 0.0000 0.5000 0.7722

---

(14)
# SrY2Mo, relaxed, DFT PBE-GGA
# M_tot: 2.9 Bohr magnetons per cell
# formation enthalpy at 0 K: 0.57 eV/atom
# total DFT energy (no corrections): -5.786 eV/atom
data_SrY2Mo
_symmetry_space_group_name_H-M 'I m m 2'
_symmetry_Int_Tables_number 44
_cell_length_a 3.5660
_cell_length_b 5.3959
_cell_length_c 12.6268
_cell_angle_alpha 90.00
_cell_angle_beta 90.00
_cell_angle_gamma 90.00
loop_
_symmetry_equiv_pos_as_xyz
'x,y,z'
'-x,-y,z'
'-x,y,z'
'x,-y,z'
'x+1/2,y+1/2,z+1/2'
'-x+1/2,-y+1/2,z+1/2'
'-x+1/2,y+1/2,z+1/2'
'x+1/2,-y+1/2,z+1/2'
loop_
_atom_site_label
_atom_site_type_symbol
_atom_site_fract_x
_atom_site_fract_y
_atom_site_fract_z
Sr1 Sr 0.0000 0.0000 0.0000
Y1 Y 0.0000 0.0000 0.6115
Y2 Y 0.0000 0.5000 0.7965
Mo1 Mo 0.0000 0.5000 0.2862

---

(15)
# SrY2Mo, relaxed, DFT PBE-GGA
# M_tot: 0.5 Bohr magnetons per cell
# formation enthalpy at 0 K: 0.76 eV/atom
# total DFT energy (no corrections): -5.596 eV/atom
data_SrY2Mo
_symmetry_space_group_name_H-M 'C 1 2/m 1'
_symmetry_Int_Tables_number 12
_cell_length_a 6.8584
_cell_length_b 10.9962
_cell_length_c 3.2672
_cell_angle_alpha 90.00
_cell_angle_beta 116.16
_cell_angle_gamma 90.00
loop_
_symmetry_equiv_pos_as_xyz
'x,y,z'
'-x,-y,-z'
'-x,y,-z'
'x,-y,z'
'x+1/2,y+1/2,z'
'-x+1/2,-y+1/2,-z'
'-x+1/2,y+1/2,-z'
'x+1/2,-y+1/2,z'
loop_
_atom_site_label
_atom_site_type_symbol
_atom_site_fract_x
_atom_site_fract_y
_atom_site_fract_z
Sr1 Sr 0.0000 0.0000 0.0000
Y1 Y 0.2500 0.2500 0.5000
Mo1 Mo 0.0000 0.5000 0.0000

---

(16)
# SrYMo, relaxed, DFT PBE-GGA
# M_tot: 10.7 Bohr magnetons per cell
# formation enthalpy at 0 K: 1.11 eV/atom
# total DFT energy (no corrections): -5.220 eV/atom
data_SrYMo
_symmetry_space_group_name_H-M 'F -4 3 m'
_symmetry_Int_Tables_number 216
_symmetry_space_group_name_Hall 'F -4 2 3'
_cell_length_a 7.3738
_cell_length_b 7.3738
_cell_length_c 7.3738
_cell_angle_alpha 90.00
_cell_angle_beta 90.00
_cell_angle_gamma 90.00
loop_
_atom_site_label
_atom_site_type_symbol
_atom_site_fract_x
_atom_site_fract_y
_atom_site_fract_z
Sr1 Sr 0.0000 0.0000 0.0000
Y1 Y 0.0000 0.0000 0.5000
Mo1 Mo 0.2500 0.2500 0.7500

---

(17)
# SrY2Mo, relaxed, DFT PBE-GGA
# M_tot: 0.0 Bohr magnetons per cell
# formation enthalpy at 0 K: 0.67 eV/atom
# total DFT energy (no corrections): -5.687 eV/atom
data_SrY2Mo
_symmetry_space_group_name_H-M 'P 4/m m m'
_symmetry_Int_Tables_number 123
_symmetry_space_group_name_Hall '-P 4 2'
_cell_length_a 4.9471
_cell_length_b 4.9471
_cell_length_c 4.5435
_cell_angle_alpha 90.00
_cell_angle_beta 90.00
_cell_angle_gamma 90.00
loop_
_atom_site_label
_atom_site_type_symbol
_atom_site_fract_x
_atom_site_fract_y
_atom_site_fract_z
Sr1 Sr 0.0000 0.0000 0.0000
Y1 Y 0.0000 0.5000 0.5000
Mo1 Mo 0.5000 0.5000 0.0000

---

(18)
# SrY2Mo, relaxed, DFT PBE-GGA
# M_tot: 0.0 Bohr magnetons per cell
# formation enthalpy at 0 K: 0.50 eV/atom
# total DFT energy (no corrections): -5.863 eV/atom
data_SrY2Mo
_symmetry_space_group_name_H-M 'I m m m'
_symmetry_Int_Tables_number 71
_symmetry_space_group_name_Hall '-I 2 2'
_cell_length_a 3.5317
_cell_length_b 6.1726
_cell_length_c 11.2194
_cell_angle_alpha 90.00
_cell_angle_beta 90.00
_cell_angle_gamma 90.00
loop_
_atom_site_label
_atom_site_type_symbol
_atom_site_fract_x
_atom_site_fract_y
_atom_site_fract_z
Sr1 Sr 0.0000 0.0000 0.0000
Y1 Y 0.0000 0.5000 0.1969
Mo1 Mo 0.0000 0.0000 0.5000

---

(19)
# Sr4YMo, relaxed, DFT PBE-GGA
# M_tot: 11.5 Bohr magnetons per cell
# formation enthalpy at 0 K: 1.06 eV/atom
# total DFT energy (no corrections): -2.941 eV/atom
data_Sr4YMo
_symmetry_space_group_name_H-M 'F -4 3 m'
_symmetry_Int_Tables_number 216
_symmetry_space_group_name_Hall 'F -4 2 3'
_cell_length_a 10.0256
_cell_length_b 10.0256
_cell_length_c 10.0256
_cell_angle_alpha 90.00
_cell_angle_beta 90.00
_cell_angle_gamma 90.00
loop_
_atom_site_label
_atom_site_type_symbol
_atom_site_fract_x
_atom_site_fract_y
_atom_site_fract_z
Sr1 Sr 0.1249 0.1249 0.1249
Y1 Y 0.2500 0.2500 0.7500
Mo1 Mo 0.0000 0.0000 0.5000

---

(20)
# SrYMo2, relaxed, DFT PBE-GGA
# M_tot: 5.3 Bohr magnetons per cell
# formation enthalpy at 0 K: 1.16 eV/atom
# total DFT energy (no corrections): -6.289 eV/atom
data_SrYMo2
_symmetry_space_group_name_H-M 'P 4/m m m'
_symmetry_Int_Tables_number 123
_symmetry_space_group_name_Hall '-P 4 2'
_cell_length_a 5.2370
_cell_length_b 5.2370
_cell_length_c 3.6070
_cell_angle_alpha 90.00
_cell_angle_beta 90.00
_cell_angle_gamma 90.00
loop_
_atom_site_label
_atom_site_type_symbol
_atom_site_fract_x
_atom_site_fract_y
_atom_site_fract_z
Sr1 Sr 0.0000 0.0000 0.0000
Y1 Y 0.5000 0.5000 0.0000
Mo1 Mo 0.0000 0.5000 0.5000